K3V2CuF9 | PBE+U | relaxed

a b c (Å): 5.9200 5.9200 7.2564
angles (deg): 90.00 90.00 120.00
Positions (direct):
K: 0.0000 0.0000 0.0000
K: 0.3333 0.6667 0.6498
K: 0.6667 0.3333 0.3502
V: 0.3333 0.6667 0.1636
V: 0.6667 0.3333 0.8364
Cu: 0.0000 0.0000 0.5000
F: 0.0000 0.5000 0.0000
F: 0.1701 0.3402 0.3254
F: 0.1701 0.8299 0.3254
F: 0.3402 0.1701 0.6746
F: 0.5000 0.0000 0.0000
F: 0.5000 0.5000 0.0000
F: 0.6598 0.8299 0.3254
F: 0.8299 0.1701 0.6746
F: 0.8299 0.6598 0.6746

Properties
Magnetic moment ... 5.71 μB per formula unit
Calculated total energy ... -5.17 eV per atom
Space-group type ... No. 164